# Cu2MoW | the Alexandria database | PBEsol | optimized geometry
data_Cu2MoW
_space_group_name_H-M_alt 'P m m m'
_space_group_IT_number 47
_space_group_name_Hall '-P 2 2'
_cell_length_a 2.586
_cell_length_b 4.024
_cell_length_c 5.164
_cell_angle_alpha 90.00
_cell_angle_beta 90.00
_cell_angle_gamma 90.00
loop_
_atom_site_label
_atom_site_type_symbol
_atom_site_fract_x
_atom_site_fract_y
_atom_site_fract_z
Cu1 Cu 0.000 0.000 0.249
Mo1 Mo 0.500 0.500 0.500
W1 W 0.500 0.500 0.000
# - Energy of formation: 116 kJ/mol of formula units

---

# IrRh3O | the Alexandria database | PBEsol | optimized geometry
data_IrRh3O
_space_group_name_H-M_alt 'P m -3 m'
_space_group_IT_number 221
_space_group_name_Hall '-P 4 2 3'
_cell_length_a 4.644
_cell_length_b 4.644
_cell_length_c 4.644
_cell_angle_alpha 90.00
_cell_angle_beta 90.00
_cell_angle_gamma 90.00
loop_
_atom_site_label
_atom_site_type_symbol
_atom_site_fract_x
_atom_site_fract_y
_atom_site_fract_z
Ir1 Ir 0.000 0.000 0.000
Rh1 Rh 0.000 0.000 0.500
O1 O 0.500 0.500 0.500
# - Raw formation energy: 2.09 eV per atom

---

# Re2Ru | the Alexandria database | PBEsol | optimized geometry
data_Re2Ru
_space_group_name_H-M_alt 'C 1 2/m 1'
_space_group_IT_number 12
_space_group_name_Hall '-C 2y'
_cell_length_a 9.944
_cell_length_b 2.729
_cell_length_c 6.442
_cell_angle_alpha 90.00
_cell_angle_beta 104.03
_cell_angle_gamma 90.00
loop_
_atom_site_label
_atom_site_type_symbol
_atom_site_fract_x
_atom_site_fract_y
_atom_site_fract_z
Re1 Re 0.029 0.000 0.309
Re2 Re 0.141 0.500 0.025
Ru1 Ru 0.195 0.500 0.636
# - Energy of formation: -15 kJ/mol of formula units

---

no.,calculated total energy (eV/cell),magnetization (μB per atom)
1,-33.04,0.0000
2,-29.04,0.4164
3,-147.98,0.0000